Computed, not measured: a geometry-optimized Li7FeO4F2 structure at the GGA+U level of DFT.

Results
Total magnetization: 4.00 μB/f.u.
V: 11.0 Å³/atom
Energy relative to the lowest polymorph listed for this composition: 42 meV per atom

abc: 6.017 5.866 10.775
angles: 102.12 92.10 122.58
Last column: magnetic moment on the atom in μB.
Fractional positions:
Li (0.230, 0.574, 0.597)  0.00
Li (0.041, 0.040, 0.818)  0.00
Li (0.507, 0.416, 0.156)  0.00
Li (0.182, 0.017, 0.602)  0.00
Li (0.381, 0.539, 0.878)  0.00
Li (0.028, 0.522, 0.795)  0.00
Li (0.765, 0.492, 0.490)  0.00
Li (0.839, 0.613, 0.969)  0.00
Li (0.472, 0.096, 0.937)  0.01
Li (0.568, 0.473, 0.691)  0.00
Li (0.486, 0.989, 0.140)  0.00
Li (0.745, 0.085, 0.637)  0.00
Li (0.374, 0.490, 0.376)  0.00
Li (0.871, 0.420, 0.278)  0.00
O (0.381, 0.682, 0.230)  0.10
O (0.153, 0.309, 0.702)  0.00
O (0.285, 0.282, 0.986)  0.17
O (0.775, 0.340, 0.095)  0.13
O (0.220, 0.729, 0.972)  0.17
O (0.521, 0.167, 0.546)  -0.02
O (0.121, 0.618, 0.432)  -0.03
O (0.505, 0.244, 0.306)  -0.01
F (0.599, 0.694, 0.558)  0.00
F (0.726, 0.766, 0.863)  0.00
F (0.049, 0.743, 0.691)  0.00
F (0.674, 0.262, 0.809)  0.00
Fe (0.375, 0.939, 0.381)  3.08
Fe (0.125, 0.457, 0.067)  4.20